Here is a relaxed structure of YMnRe2 from Alexandria. Energies are from PBE.

Lattice parameters (Å, degrees): 3.2144 4.7236 9.1830 90.00 90.00 90.00
Closest atoms and distances in Å follow each position.
Space group Imm2 (No. 44)
Symmetry-distinct sites (fractional):
Y 0.0000 0.0000 0.0000 [2 per cell]  8 Re 2.86-3.15, 4 Mn 2.99-3.14
Mn 0.0000 0.5000 0.7740 [2 per cell]  6 Re 2.68-2.89, 2 Y 2.99
Re 0.0000 0.0000 0.5073 [2 per cell]  2 Re 2.58, 2 Mn 2.68, 4 Y 2.86
Re 0.0000 0.5000 0.2270 [2 per cell]  2 Re 2.58

## Properties
**Energy above the lowest structure with this stoichiometry**: 180.1 meV/atom
**ΔE_f**: 371 meV/atom